DFT (PBE) results for a geometry-optimized TbMg3Cd structure.

Calculated values
Calculated volume in Å³/cell: 495
Calculated formation energy in eV per atom: -0.104
DOS(E_F) in states/eV per cell: 12.31

Cell: 9.9554 3.7207 13.3630 Å, 90.00 90.00 90.00°
Element x y z (fractional)
Tb: 0.1521 0.2500 0.0065
Tb: 0.3479 0.7500 0.5065
Tb: 0.6521 0.2500 0.4935
Tb: 0.8479 0.7500 0.9935
Mg: 0.0814 0.2500 0.4149
Mg: 0.0938 0.7500 0.2185
Mg: 0.1527 0.7500 0.7995
Mg: 0.3473 0.2500 0.2995
Mg: 0.4062 0.2500 0.7185
Mg: 0.4186 0.7500 0.9149
Mg: 0.5814 0.2500 0.0851
Mg: 0.5938 0.7500 0.2815
Mg: 0.6527 0.7500 0.7005
Mg: 0.8473 0.2500 0.2005
Mg: 0.9062 0.2500 0.7815
Mg: 0.9186 0.7500 0.5851
Cd: 0.1410 0.2500 0.6280
Cd: 0.3590 0.7500 0.1280
Cd: 0.6410 0.2500 0.8720
Cd: 0.8590 0.7500 0.3720